UBS2 | Alexandria | PBE | optimized geometry; magnetic moment = 2.887 μB/cell; E_form (uncorrected) = -0.421 eV per atom; N(E_F) = 4.71 states/eV/f.u.; energy above the lowest structure with this stoichiometry = 0.0 kJ per mole of atoms
1.0
-1.797 1.606 -3.331
2.904 -2.868 -0.499
-4.748 -3.052 1.918
S U B
2 1 1
direct
0.705 0.532 0.236
0.165 0.560 0.725
0.929 0.046 0.974
0.868 0.696 0.564